# MnRuN2 | Alexandria | GGA-PBE | relaxed
# Formation energy (no corrections), eV per atom: -0.02
# Energy above the most stable polymorph in this dataset, meV per atom: 0
data_MnRuN2
_cell_length_a 4.428
_cell_length_b 4.428
_cell_length_c 8.756
_cell_angle_alpha 90.00
_cell_angle_beta 90.00
_cell_angle_gamma 90.00
_symmetry_space_group_name_H-M 'I -4 2 d'
_symmetry_Int_Tables_number 122
_symmetry_space_group_name_Hall 'I -4 2bw'
loop_
_atom_site_label
_atom_site_type_symbol
_atom_site_fract_x
_atom_site_fract_y
_atom_site_fract_z
Mn1 Mn 0.000 0.000 0.000
Ru1 Ru 0.000 0.000 0.500
N1 N 0.216 0.250 0.125